DFT (PBE) results for crystalline Sm5DyCu6 at its relaxed geometry.

```
Sm5DyCu6
1.0
4.822 -0.006 -1.353
-3.610 6.989 -3.616
-0.194 -1.010 8.596
Cu Sm Dy
6 5 1
Cartesian
0.812 0.155 2.894
1.327 3.193 4.740
2.655 1.436 0.198
-1.637 4.536 3.429
-0.309 2.780 -1.113
0.206 5.817 0.733
1.647 0.322 5.881
-1.334 1.660 4.519
0.509 2.986 1.813
-2.469 4.318 0.461
-0.629 5.651 -2.254
0.000 0.000 0.000
```

Calculated values
energy of formation = -4.40 kcal/mol of atoms
space group = C2/m (12)
magnetization = 0.00 μB/cell
crystal system = monoclinic